(1)
A plane-wave DFT calculation with GGA-PBE was carried out for an optimized crystal structure of AlWCl3.

It has space group Pm-3m (No. 221), with a = 4.9650 Å, b = 4.9650 Å, c = 4.9650 Å, α = 90.00°, β = 90.00° and γ = 90.00°. Symmetry generates all atoms from Al at (0.0000, 0.0000, 0.0000), W at (0.5000, 0.5000, 0.5000) and Cl at (0.0000, 0.5000, 0.5000).

The calculation puts the volume at 24.5 A^3/atom. As for the uncorrected formation energy: 162 meV per atom. The calculation puts the energy above the most stable polymorph in this dataset at 0.000 eV/f.u. For the size of the total moment, the calculation gives 2.80 μB/f.u.

(2)
A plane-wave DFT calculation with GGA-PBE was carried out for an optimized crystal structure of PmNdNCl.

It has space group R3m (No. 160, hexagonal axes), with a = 3.6740 Å, b = 3.6740 Å, c = 21.2181 Å, α = 90.00°, β = 90.00° and γ = 120.00°. Symmetry generates all atoms from Pm at (0.0000, 0.0000, 0.0000), Nd at (0.0000, 0.0000, 0.2077), N at (0.0000, 0.0000, 0.6091) and Cl at (0.0000, 0.0000, 0.4361).

The calculation puts the volume at 20.7 A^3/atom. As for the uncorrected formation energy: -1536 meV per atom. For the size of the total moment, the calculation gives 0.00 μB/f.u.

(3)
A plane-wave DFT calculation with GGA-PBE was carried out for an optimized crystal structure of Sm8YHo6.

It has space group R-3 (No. 148, hexagonal axes), with a = 9.0857 Å, b = 9.0857 Å, c = 20.7944 Å, α = 90.00°, β = 90.00° and γ = 120.00°. Symmetry generates all atoms from Sm at (0.0000, 0.0000, 0.0774), Sm at (0.0811, 0.5559, 0.3071), Y at (0.0000, 0.0000, 0.5000) and Ho at (0.0501, 0.2449, 0.2061).

The calculation puts the volume at 33.0 A^3/atom. The calculation puts the energy above the most stable polymorph in this dataset at 0.000 eV/f.u. The value obtained for the formation energy from the elements is 1.93 eV per formula unit. For the size of the total moment, the calculation gives 0.00 μB/f.u.

(4)
A plane-wave DFT calculation with GGA-PBE was carried out for an optimized crystal structure of TbNd2Pu.

It has space group P4/mmm (No. 123), with a = 3.5694 Å, b = 3.5694 Å, c = 10.2184 Å, α = 90.00°, β = 90.00° and γ = 90.00°. Symmetry generates all atoms from Tb at (0.0000, 0.0000, 0.0000), Nd at (0.5000, 0.5000, 0.2550) and Pu at (0.0000, 0.0000, 0.5000).

The calculation puts the volume at 32.5 A^3/atom. The calculation puts the energy above the most stable polymorph in this dataset at 0.000 eV/f.u. The value obtained for the formation energy from the elements is 0.46 eV per formula unit. For the size of the total moment, the calculation gives 6.24 μB/f.u.

(5)
A plane-wave DFT calculation with GGA-PBE was carried out for an optimized crystal structure of TbTh2Nb.

It has space group R-3m (No. 166, hexagonal axes), with a = 3.3500 Å, b = 3.3500 Å, c = 35.6708 Å, α = 90.00°, β = 90.00° and γ = 120.00°. Symmetry generates all atoms from Tb at (0.0000, 0.0000, 0.0000), Th at (0.0000, 0.0000, 0.4192) and Nb at (0.0000, 0.0000, 0.5000).

The calculation puts the volume at 28.9 A^3/atom. The calculation puts the energy above the most stable polymorph in this dataset at 1.507 eV/f.u. The value obtained for the formation energy from the elements is 2.18 eV per formula unit. For the size of the total moment, the calculation gives 0.00 μB/f.u.

(6)
A plane-wave DFT calculation with GGA-PBE was carried out for an optimized crystal structure of Li8In2Ag3.

It has space group P2/m (No. 10), with a = 7.3514 Å, b = 4.7154 Å, c = 7.6066 Å, α = 90.00°, β = 114.00° and γ = 90.00°. Symmetry generates all atoms from Li at (0.0736, 0.0000, 0.3474), Li at (0.0761, 0.5000, 0.8661), Li at (0.3651, 0.5000, 0.2887), Li at (0.3880, 0.0000, 0.7831), In at (0.2151, 0.5000, 0.5758), Ag at (0.2102, 0.0000, 0.0476) and Ag at (0.5000, 0.5000, 0.0000).

The calculation puts the volume at 18.5 A^3/atom. The calculation puts the energy above the most stable polymorph in this dataset at 0.000 eV/f.u. The value obtained for the formation energy from the elements is -2.29 eV per formula unit. For the size of the total moment, the calculation gives 0.00 μB/f.u.

(7)
A plane-wave DFT calculation with GGA-PBE was carried out for an optimized crystal structure of CaFe2Si2C.

It has space group P4/mmm (No. 123), with a = 3.8673 Å, b = 3.8673 Å, c = 5.2600 Å, α = 90.00°, β = 90.00° and γ = 90.00°. Symmetry generates all atoms from Ca at (0.0000, 0.0000, 0.0000), Fe at (0.0000, 0.5000, 0.5000), Si at (0.5000, 0.5000, 0.2316) and C at (0.0000, 0.0000, 0.5000).

The calculation puts the volume at 13.1 A^3/atom. As for the uncorrected formation energy: -230 meV per atom. For the size of the total moment, the calculation gives 1.34 μB/f.u.

(8)
A plane-wave DFT calculation with GGA-PBE was carried out for an optimized crystal structure of LaTb3Ce2As6.

It has space group C2/m (No. 12), with a = 7.2898 Å, b = 12.6243 Å, c = 7.2716 Å, α = 90.00°, β = 109.52° and γ = 90.00°. Symmetry generates all atoms from La at (0.0000, 0.0000, 0.0000), Tb at (0.0000, 0.1654, 0.5000), Tb at (0.0000, 0.5000, 0.5000), Ce at (0.0000, 0.3329, 0.0000), As at (0.2450, 0.3303, 0.7442) and As at (0.2459, 0.5000, 0.2558).

The calculation puts the volume at 26.3 A^3/atom. The value obtained for the formation energy from the elements is -18.09 eV per formula unit. For the size of the total moment, the calculation gives 1.25 μB/f.u.

(9)
A plane-wave DFT calculation with GGA-PBE was carried out for an optimized crystal structure of Pu2Pa2Pt3.

It has space group Cmmm (No. 65), with a = 4.1499 Å, b = 22.2401 Å, c = 3.4822 Å, α = 90.00°, β = 90.00° and γ = 90.00°. Symmetry generates all atoms from Pu at (0.0000, 0.0687, 0.0000), Pa at (0.0000, 0.2014, 0.0000), Pt at (0.0000, 0.3330, 0.5000) and Pt at (0.0000, 0.5000, 0.5000).

The calculation puts the volume at 23.0 A^3/atom. The value obtained for the formation energy from the elements is -3.37 eV per formula unit. For the size of the total moment, the calculation gives 12.08 μB/f.u.

(10)
A plane-wave DFT calculation with GGA-PBE was carried out for an optimized crystal structure of Hf2RhAu2.

It has space group P4/mbm (No. 127), with a = 7.3977 Å, b = 7.3977 Å, c = 3.4726 Å, α = 90.00°, β = 90.00° and γ = 90.00°. Symmetry generates all atoms from Hf at (0.1740, 0.3260, 0.0000), Rh at (0.0000, 0.0000, 0.5000) and Au at (0.1311, 0.6311, 0.5000).

The calculation puts the volume at 19.0 A^3/atom. The value obtained for the formation energy from the elements is -2.12 eV per formula unit. For the size of the total moment, the calculation gives 0.00 μB/f.u.

(11)
A plane-wave DFT calculation with GGA-PBE was carried out for an optimized crystal structure of Ac3Ni5Cl12.

It has space group Ia-3d (No. 230), with a = 15.3277 Å, b = 15.3277 Å, c = 15.3277 Å, α = 90.00°, β = 90.00° and γ = 90.00°. Symmetry generates all atoms from Ac at (0.0000, 0.2500, 0.1250), Ni at (0.0000, 0.0000, 0.0000), Ni at (0.0000, 0.2500, 0.3750) and Cl at (0.0335, 0.0572, 0.6482).

The calculation puts the volume at 22.5 A^3/atom. As for the uncorrected formation energy: -1174 meV per atom. For the size of the total moment, the calculation gives 3.01 μB/f.u.

(12)
A plane-wave DFT calculation with GGA-PBE was carried out for an optimized crystal structure of Zn3Ag2Au2.

It has space group P2_1/c (No. 14), with a = 5.0678 Å, b = 10.2082 Å, c = 5.5600 Å, α = 90.00°, β = 120.33° and γ = 90.00°. Symmetry generates all atoms from Zn at (0.0000, 0.0000, 0.0000), Zn at (0.4742, 0.1233, 0.6258), Ag at (0.0043, 0.2337, 0.6648) and Au at (0.4764, 0.6130, 0.3370).

The calculation puts the volume at 17.7 A^3/atom. The calculation puts the energy above the most stable polymorph in this dataset at 0.401 eV/f.u. The value obtained for the formation energy from the elements is -0.43 eV per formula unit. For the size of the total moment, the calculation gives 0.00 μB/f.u.

(13)
A plane-wave DFT calculation with GGA-PBE was carried out for an optimized crystal structure of LaCuAsH2.

It has space group P4mm (No. 99), with a = 4.0327 Å, b = 4.0327 Å, c = 5.0146 Å, α = 90.00°, β = 90.00° and γ = 90.00°. Symmetry generates all atoms from La at (0.0000, 0.0000, 0.0000), Cu at (0.5000, 0.5000, 0.3155), As at (0.5000, 0.5000, 0.8059) and H at (0.0000, 0.5000, 0.2919).

The calculation puts the volume at 16.3 A^3/atom. The calculation puts the energy above the most stable polymorph in this dataset at 0.000 eV/f.u. For the size of the total moment, the calculation gives 0.00 μB/f.u.

(14)
A plane-wave DFT calculation with GGA-PBE was carried out for an optimized crystal structure of TaNi4Br.

It has space group F-43m (No. 216), with a = 6.8507 Å, b = 6.8507 Å, c = 6.8507 Å, α = 90.00°, β = 90.00° and γ = 90.00°. Symmetry generates all atoms from Ta at (0.0000, 0.0000, 0.0000), Ni at (0.1261, 0.1261, 0.3739) and Br at (0.2500, 0.2500, 0.7500).

The calculation puts the volume at 13.4 A^3/atom. As for the uncorrected formation energy: 266 meV per atom. For the size of the total moment, the calculation gives 0.00 μB/f.u.

(15)
A plane-wave DFT calculation with GGA-PBE was carried out for an optimized crystal structure of Rb2HfTe6Au2.

It has space group C2/m (No. 12), with a = 13.9320 Å, b = 8.1075 Å, c = 8.8706 Å, α = 90.00°, β = 121.48° and γ = 90.00°. Symmetry generates all atoms from Rb at (0.2424, 0.0000, 0.2275), Hf at (0.0000, 0.0000, 0.5000), Te at (0.0163, 0.2192, 0.7657), Te at (0.2349, 0.0000, 0.7655) and Au at (0.0923, 0.5000, 0.2806).

The calculation puts the volume at 38.8 A^3/atom. As for the uncorrected formation energy: -448 meV per atom. For the size of the total moment, the calculation gives 0.00 μB/f.u.

(16)
A plane-wave DFT calculation with GGA-PBE was carried out for an optimized crystal structure of Cs6K2Br.

It has space group P2_1/c (No. 14), with a = 10.0742 Å, b = 13.8975 Å, c = 14.6798 Å, α = 90.00°, β = 124.85° and γ = 90.00°. Symmetry generates all atoms from Cs at (0.1746, 0.1443, 0.4772), Cs at (0.2718, 0.7239, 0.9518), Cs at (0.2886, 0.0321, 0.1972), K at (0.2581, 0.0559, 0.8354) and Br at (0.5000, 0.0000, 0.5000).

The calculation puts the volume at 93.7 A^3/atom. As for the uncorrected formation energy: -364 meV per atom. For the size of the total moment, the calculation gives 0.00 μB/f.u.

(17)
A plane-wave DFT calculation with GGA-PBE was carried out for an optimized crystal structure of NdSm2Os.

It has space group R-3m (No. 166, hexagonal axes), with a = 3.8221 Å, b = 3.8221 Å, c = 32.0876 Å, α = 90.00°, β = 90.00° and γ = 120.00°. Symmetry generates all atoms from Nd at (0.0000, 0.0000, 0.0000), Sm at (0.0000, 0.0000, 0.1138) and Os at (0.0000, 0.0000, 0.5000).

The calculation puts the volume at 33.8 A^3/atom. The calculation puts the energy above the most stable polymorph in this dataset at 1.868 eV/f.u. The value obtained for the formation energy from the elements is 1.32 eV per formula unit. For the size of the total moment, the calculation gives 0.00 μB/f.u.

(18)
A plane-wave DFT calculation with GGA-PBE was carried out for an optimized crystal structure of RbSmDy4S8.

It has space group R3m (No. 160, hexagonal axes), with a = 8.2644 Å, b = 8.2644 Å, c = 20.5447 Å, α = 90.00°, β = 90.00° and γ = 120.00°. Symmetry generates all atoms from Rb at (0.0000, 0.0000, 0.0000), Sm at (0.0000, 0.0000, 0.3673), Dy at (0.0000, 0.0000, 0.7466), Dy at (0.0116, 0.5058, 0.8736), S at (0.0000, 0.0000, 0.1420), S at (0.0000, 0.0000, 0.6150), S at (0.0163, 0.5082, 0.1253) and S at (0.1900, 0.3800, 0.9469).

The calculation puts the volume at 28.9 A^3/atom. As for the uncorrected formation energy: -1899 meV per atom. For the size of the total moment, the calculation gives 0.00 μB/f.u.

(19)
A plane-wave DFT calculation with GGA-PBE was carried out for an optimized crystal structure of Th4In3Bi.

It has space group P4/mmm (No. 123), with a = 4.1715 Å, b = 4.1715 Å, c = 13.6012 Å, α = 90.00°, β = 90.00° and γ = 90.00°. Symmetry generates all atoms from Th at (0.0000, 0.0000, 0.1223), Th at (0.0000, 0.0000, 0.3703), In at (0.5000, 0.5000, 0.0000), In at (0.5000, 0.5000, 0.2429) and Bi at (0.5000, 0.5000, 0.5000).

The calculation puts the volume at 29.6 A^3/atom. The value obtained for the formation energy from the elements is -2.49 eV per formula unit. For the size of the total moment, the calculation gives 0.00 μB/f.u.